Density functional theory data (PBE) for a relaxed structure of ErPuPb.

Cell: 5.0809 5.0809 5.0809 Å, 60.00 60.00 60.00°
Positions (direct):
Pb  0.2500  0.2500  0.2500
Pu  0.7500  0.7500  0.7500
Er  0.0000  0.0000  0.0000

Values from the calculation:
VASP energy, eV for the cell shown: -21.7
Distance to the lowest polymorph of the same formula, meV/atom: 0
Symmetry: F-43m



Density functional theory data (PBE) for a relaxed structure of TbYB2P2Ir2.

Cell: 3.9419 3.9419 8.3456 Å, 90.00 90.00 90.00°
Positions (direct):
Ir  0.0000  0.5000  0.4999
Ir  0.5000  0.0000  0.4999
B  0.0000  0.0000  0.6131
B  0.5000  0.5000  0.3860
Tb  0.0000  0.0000  0.1955
P  0.5000  0.5000  0.1468
P  0.0000  0.0000  0.8522
Y  0.5000  0.5000  0.8065

Values from the calculation:
VASP energy, eV for the cell shown: -60.6
Symmetry: P4mm



Density functional theory data (PBE) for a relaxed structure of Lu2Re3Ir.

Cell: 5.2221 5.2221 9.0860 Å, 90.00 90.00 120.00°
Positions (direct):
Lu  0.6667  0.3333  0.0637
Lu  0.6667  0.3333  0.4363
Lu  0.3333  0.6667  0.5637
Lu  0.3333  0.6667  0.9363
Re  0.3414  0.1707  0.7500
Re  0.1707  0.8293  0.2500
Re  0.6586  0.8293  0.2500
Re  0.8293  0.1707  0.7500
Re  0.8293  0.6586  0.7500
Re  0.1707  0.3414  0.2500
Ir  0.0000  0.0000  0.5000
Ir  0.0000  0.0000  0.0000

Values from the calculation:
VASP energy, eV for the cell shown: -116.1
Formation enthalpy at 0 K, meV per atom: -478
Symmetry: P6_3/mmc



Density functional theory data (PBE) for a relaxed structure of HgN.

Cell: 3.6594 3.6594 3.6594 Å, 60.00 60.00 60.00°
Positions (direct):
Hg  0.0000  0.0000  0.0000
N  0.2500  0.2500  0.2500

Values from the calculation:
VASP energy, eV for the cell shown: -5.4
Distance to the lowest polymorph of the same formula, meV/atom: 50
Symmetry: F-43m



Density functional theory data (PBE) for a relaxed structure of ZrAlTc.

Cell: 4.3998 4.3998 4.3998 Å, 60.00 60.00 60.00°
Positions (direct):
Tc  0.7500  0.7500  0.7500
Al  0.5000  0.5000  0.5000
Zr  0.0000  0.0000  0.0000

Values from the calculation:
VASP energy, eV for the cell shown: -22.5
Distance to the lowest polymorph of the same formula, meV/atom: 0
Symmetry: F-43m



Density functional theory data (PBE) for a relaxed structure of Ho2Te2O5.

Cell: 7.3836 4.1319 4.1319 Å, 90.00 90.00 90.00°
Positions (direct):
Ho  0.0000  0.0000  0.0000
Ho  0.5000  0.0000  0.0000
O  0.7087  0.0000  0.5000
O  0.2913  0.0000  0.5000
O  0.5000  0.5000  0.5000
O  0.2913  0.5000  0.0000
O  0.7087  0.5000  0.0000
Te  0.7963  0.5000  0.5000
Te  0.2037  0.5000  0.5000

Values from the calculation:
VASP energy, eV for the cell shown: -51.3
Distance to the lowest polymorph of the same formula, meV/atom: 778
Symmetry: P4/mmm